Computed, not measured: crystalline YRe2Ir2 at its relaxed geometry at the GGA-PBE level of DFT.

a b c (Å): 7.8032 7.8032 2.7740
angles (deg): 90.00 90.00 90.00
Closest atoms and distances in Å follow each position.
Positions (direct):
Y  0.0000  0.0000  0.0000  2 Y 2.77, 4 Ir 3.10
Y  0.5000  0.5000  0.0000  2 Y 2.77, 4 Ir 3.10
Re  0.1736  0.3264  0.5000  6 Ir 2.65-2.72, 2 Re 2.77
Re  0.3264  0.8264  0.5000  6 Ir 2.65-2.72, 2 Re 2.77
Re  0.6736  0.1736  0.5000  6 Ir 2.65-2.72, 2 Re 2.77
Re  0.8264  0.6736  0.5000  6 Ir 2.65-2.72, 2 Re 2.77
Ir  0.1222  0.6222  0.0000  6 Re 2.65-2.72, 3 Ir 2.70-2.77
Ir  0.3778  0.1222  0.0000  6 Re 2.65-2.72, 3 Ir 2.70-2.77
Ir  0.6222  0.8778  0.0000  6 Re 2.65-2.72, 3 Ir 2.70-2.77
Ir  0.8778  0.3778  0.0000  6 Re 2.65-2.72, 3 Ir 2.70-2.77

Energy above the lowest structure with this stoichiometry = 6.0 kJ/mol of atoms
Calculated formation energy = -99.4 meV per atom
D(E_F) = 0.775 states/eV/atom
Space group = P4/mbm (127)
Total DFT energy (no corrections) = -49.58 eV per formula unit